# 1
This record from Alexandria describes an optimized crystal structure of Tb6PrTl2. The functional is PBE.

Calculated values
The formation energy is 0.5071 eV per atom. Its final energy is -65.46 eV for the cell shown. Its density is 7.367 Mg/m³. For the density of states at the Fermi level, the calculation gives 11.40 states/eV/f.u. Its energy relative to the lowest polymorph listed for this composition is 5.85 eV/f.u. For the calculated volume, the calculation gives 37.65 A^3/atom.

Geometry as CIF:
```
data_Tb6PrTl2
_space_group_name_H-M_alt 'I -4 2 m'
_space_group_IT_number 121
_space_group_name_Hall 'I -4 2'
_cell_length_a 5.6664
_cell_length_b 5.6664
_cell_length_c 21.1044
_cell_angle_alpha 90.00
_cell_angle_beta 90.00
_cell_angle_gamma 90.00
loop_
_atom_site_label
_atom_site_type_symbol
_atom_site_fract_x
_atom_site_fract_y
_atom_site_fract_z
Tb1 Tb 0.0000 0.5000 0.2500
Tb2 Tb 0.1948 0.1948 0.0673
Pr1 Pr 0.0000 0.0000 0.5000
Tl1 Tl 0.0000 0.0000 0.1911
```

# 2
This record from Alexandria describes an optimized crystal structure of Li2Cd5Ag3. The functional is PBE.

Calculated values
The formation energy is -0.1078 eV per atom. Its final energy is -72.14 eV for the cell shown. Its density is 7.459 Mg/m³. For the density of states at the Fermi level, the calculation gives 3.12 states/eV/f.u. For the calculated volume, the calculation gives 20.02 A^3/atom.

Geometry as CIF:
```
data_Li2Cd5Ag3
_space_group_name_H-M_alt 'C 1 2/c 1'
_space_group_IT_number 15
_space_group_name_Hall '-C 2yc'
_cell_length_a 10.2175
_cell_length_b 14.1775
_cell_length_c 5.5354
_cell_angle_alpha 90.00
_cell_angle_beta 92.65
_cell_angle_gamma 90.00
loop_
_atom_site_label
_atom_site_type_symbol
_atom_site_fract_x
_atom_site_fract_y
_atom_site_fract_z
Li1 Li 0.1238 0.2426 0.1172
Cd1 Cd 0.0000 0.0418 0.2500
Cd2 Cd 0.1240 0.3443 0.5944
Cd3 Cd 0.2423 0.4509 0.0028
Ag1 Ag 0.0000 0.4694 0.2500
Ag2 Ag 0.1210 0.1509 0.6267
```

# 3
This record from Alexandria describes an optimized crystal structure of CaCr3B. The functional is PBE.

Calculated values
The formation energy is 3.2543 eV per atom. Its final energy is -21.28 eV for the cell shown. Its density is 4.712 Mg/m³. For the density of states at the Fermi level, the calculation gives 7.59 states/eV/f.u. For the calculated volume, the calculation gives 14.58 A^3/atom.

Geometry as CIF:
```
data_CaCr3B
_space_group_name_H-M_alt 'P m -3 m'
_space_group_IT_number 221
_space_group_name_Hall '-P 4 2 3'
_cell_length_a 4.1774
_cell_length_b 4.1774
_cell_length_c 4.1774
_cell_angle_alpha 90.00
_cell_angle_beta 90.00
_cell_angle_gamma 90.00
loop_
_atom_site_label
_atom_site_type_symbol
_atom_site_fract_x
_atom_site_fract_y
_atom_site_fract_z
Ca1 Ca 0.0000 0.0000 0.0000
Cr1 Cr 0.0000 0.0000 0.5000
B1 B 0.5000 0.5000 0.5000
```

# 4
This record from Alexandria describes an optimized crystal structure of MgCuBi. The functional is PBE.

Calculated values
The formation energy is 0.0449 eV per atom. Its final energy is -37.75 eV for the cell shown. Its density is 7.205 Mg/m³. For the density of states at the Fermi level, the calculation gives 0.55 states/eV/f.u. For the calculated volume, the calculation gives 22.80 A^3/atom.

Geometry as CIF:
```
data_MgCuBi
_space_group_name_H-M_alt 'P n m a'
_space_group_IT_number 62
_space_group_name_Hall '-P 2ac 2n'
_cell_length_a 7.8633
_cell_length_b 4.4251
_cell_length_c 7.8638
_cell_angle_alpha 90.00
_cell_angle_beta 90.00
_cell_angle_gamma 90.00
loop_
_atom_site_label
_atom_site_type_symbol
_atom_site_fract_x
_atom_site_fract_y
_atom_site_fract_z
Mg1 Mg 0.0380 0.2500 0.1680
Cu1 Cu 0.1979 0.2500 0.8636
Bi1 Bi 0.1903 0.2500 0.5270
```

# 5
This record from Alexandria describes an optimized crystal structure of InHRu2Br. The functional is PBE.

Calculated values
Its final energy is -22.16 eV for the cell shown. Its density is 9.148 Mg/m³. For the density of states at the Fermi level, the calculation gives 5.52 states/eV/f.u. For the calculated volume, the calculation gives 14.44 A^3/atom.

Geometry as CIF:
```
data_InHRu2Br
_space_group_name_H-M_alt 'P 4/m m m'
_space_group_IT_number 123
_space_group_name_Hall '-P 4 2'
_cell_length_a 4.2544
_cell_length_b 4.2544
_cell_length_c 3.9902
_cell_angle_alpha 90.00
_cell_angle_beta 90.00
_cell_angle_gamma 90.00
loop_
_atom_site_label
_atom_site_type_symbol
_atom_site_fract_x
_atom_site_fract_y
_atom_site_fract_z
In1 In 0.0000 0.0000 0.0000
H1 H 0.0000 0.0000 0.5000
Ru1 Ru 0.0000 0.5000 0.5000
Br1 Br 0.5000 0.5000 0.0000
```

# 6
This record from Alexandria describes an optimized crystal structure of KLiGeBr4. The functional is PBE.

Calculated values
Its final energy is -44.64 eV for the cell shown. Its density is 2.838 Mg/m³. For the density of states at the Fermi level, the calculation gives 0.00 states/eV/f.u. For the calculated volume, the calculation gives 36.64 A^3/atom. The energy relative to the elements, uncorrected is -1.14 eV per atom.

Geometry as CIF:
```
data_KLiGeBr4
_space_group_name_H-M_alt 'P 1 21/m 1'
_space_group_IT_number 11
_space_group_name_Hall '-P 2yb'
_cell_length_a 7.8762
_cell_length_b 7.7399
_cell_length_c 8.9179
_cell_angle_alpha 90.00
_cell_angle_beta 109.34
_cell_angle_gamma 90.00
loop_
_atom_site_label
_atom_site_type_symbol
_atom_site_fract_x
_atom_site_fract_y
_atom_site_fract_z
K1 K 0.2318 0.2500 0.0210
Li1 Li 0.2839 0.7500 0.3225
Ge1 Ge 0.2318 0.2500 0.4811
Br1 Br 0.0656 0.0032 0.2711
Br2 Br 0.4905 0.2500 0.8124
Br3 Br 0.4950 0.7500 0.6087
```

# 7
This record from Alexandria describes an optimized crystal structure of ReW3. The functional is PBE.

Calculated values
The formation energy is 0.3874 eV per atom. Its final energy is -49.76 eV for the cell shown. Its density is 19.022 Mg/m³. For the density of states at the Fermi level, the calculation gives 5.21 states/eV/f.u. Its energy relative to the lowest polymorph listed for this composition is 1.48 eV/f.u. For the calculated volume, the calculation gives 16.10 A^3/atom.

Geometry as CIF:
```
data_ReW3
_space_group_name_H-M_alt 'P -6 m 2'
_space_group_IT_number 187
_space_group_name_Hall 'P -6 2'
_cell_length_a 2.7896
_cell_length_b 2.7896
_cell_length_c 9.5556
_cell_angle_alpha 90.00
_cell_angle_beta 90.00
_cell_angle_gamma 120.00
loop_
_atom_site_label
_atom_site_type_symbol
_atom_site_fract_x
_atom_site_fract_y
_atom_site_fract_z
Re1 Re 0.0000 0.0000 0.0000
W1 W 0.0000 0.0000 0.5000
W2 W 0.3333 0.6667 0.2422
```

# 8
This record from Alexandria describes an optimized crystal structure of BeAsAu. The functional is PBE.

Calculated values
The formation energy is 0.0244 eV per atom. Its final energy is -23.16 eV for the cell shown. Its density is 9.102 Mg/m³. For the density of states at the Fermi level, the calculation gives 0.95 states/eV/f.u. For the calculated volume, the calculation gives 17.08 A^3/atom.

Geometry as CIF:
```
data_BeAsAu
_space_group_name_H-M_alt 'P 1 m 1'
_space_group_IT_number 6
_space_group_name_Hall 'P -2y'
_cell_length_a 6.0368
_cell_length_b 2.8258
_cell_length_c 6.2101
_cell_angle_alpha 90.00
_cell_angle_beta 104.66
_cell_angle_gamma 90.00
loop_
_atom_site_label
_atom_site_type_symbol
_atom_site_fract_x
_atom_site_fract_y
_atom_site_fract_z
Be1 Be 0.0000 0.0000 0.0000
Be2 Be 0.4972 0.0000 0.0039
As1 As 0.1259 0.5000 0.3237
As2 As 0.5421 0.5000 0.3286
Au1 Au 0.1892 0.5000 0.7776
Au2 Au 0.6937 0.5000 0.7911
```

# 9
This record from Alexandria describes an optimized crystal structure of LiTbTl2. The functional is PBE.

Calculated values
The formation energy is -0.2945 eV per atom. Its final energy is -12.45 eV for the cell shown. Its density is 9.903 Mg/m³. For the density of states at the Fermi level, the calculation gives 2.37 states/eV/f.u. For the calculated volume, the calculation gives 24.09 A^3/atom.

Geometry as CIF:
```
data_LiTbTl2
_space_group_name_H-M_alt 'P 4/m m m'
_space_group_IT_number 123
_space_group_name_Hall '-P 4 2'
_cell_length_a 3.6038
_cell_length_b 3.6038
_cell_length_c 7.4188
_cell_angle_alpha 90.00
_cell_angle_beta 90.00
_cell_angle_gamma 90.00
loop_
_atom_site_label
_atom_site_type_symbol
_atom_site_fract_x
_atom_site_fract_y
_atom_site_fract_z
Li1 Li 0.0000 0.0000 0.0000
Tb1 Tb 0.0000 0.0000 0.5000
Tl1 Tl 0.5000 0.5000 0.2164
```

# 10
This record from Alexandria describes an optimized crystal structure of ZnP2PtI. The functional is PBE.

Calculated values
Its final energy is -12.02 eV for the cell shown. Its density is 5.456 Mg/m³. For the density of states at the Fermi level, the calculation gives 5.54 states/eV/f.u. For the calculated volume, the calculation gives 27.35 A^3/atom. The energy relative to the elements, uncorrected is 1.53 eV per atom.

Geometry as CIF:
```
data_ZnP2PtI
_space_group_name_H-M_alt 'P 4/m m m'
_space_group_IT_number 123
_space_group_name_Hall '-P 4 2'
_cell_length_a 5.2263
_cell_length_b 5.2263
_cell_length_c 5.0071
_cell_angle_alpha 90.00
_cell_angle_beta 90.00
_cell_angle_gamma 90.00
loop_
_atom_site_label
_atom_site_type_symbol
_atom_site_fract_x
_atom_site_fract_y
_atom_site_fract_z
Zn1 Zn 0.0000 0.0000 0.0000
P1 P 0.0000 0.5000 0.5000
Pt1 Pt 0.5000 0.5000 0.0000
I1 I 0.5000 0.5000 0.5000
```

# 11
This record from Alexandria describes an optimized crystal structure of KTcHg2. The functional is PBE.

Calculated values
The formation energy is 0.6992 eV per atom. Its final energy is -9.27 eV for the cell shown. Its density is 9.807 Mg/m³. For the density of states at the Fermi level, the calculation gives 3.29 states/eV/f.u. Its energy relative to the lowest polymorph listed for this composition is 0.77 eV/f.u. For the calculated volume, the calculation gives 22.79 A^3/atom.

Geometry as CIF:
```
data_KTcHg2
_space_group_name_H-M_alt 'P 1 2/m 1'
_space_group_IT_number 10
_space_group_name_Hall '-P 2y'
_cell_length_a 5.4230
_cell_length_b 2.8954
_cell_length_c 5.9751
_cell_angle_alpha 90.00
_cell_angle_beta 103.72
_cell_angle_gamma 90.00
loop_
_atom_site_label
_atom_site_type_symbol
_atom_site_fract_x
_atom_site_fract_y
_atom_site_fract_z
K1 K 0.0000 0.0000 0.0000
Tc1 Tc 0.5000 0.5000 0.5000
Hg1 Hg 0.0000 0.0000 0.5000
Hg2 Hg 0.5000 0.5000 0.0000
```

# 12
This record from Alexandria describes an optimized crystal structure of Nd4AlCo2. The functional is PBE.

Calculated values
The formation energy is -0.0514 eV per atom. Its final energy is -74.77 eV for the cell shown. Its density is 6.474 Mg/m³. For the density of states at the Fermi level, the calculation gives 6.87 states/eV/f.u. For the calculated volume, the calculation gives 26.45 A^3/atom.

Geometry as CIF:
```
data_Nd4AlCo2
_space_group_name_H-M_alt 'P -1'
_space_group_IT_number 2
_space_group_name_Hall '-P 1'
_cell_length_a 5.4818
_cell_length_b 5.7133
_cell_length_c 12.6416
_cell_angle_alpha 90.07
_cell_angle_beta 90.12
_cell_angle_gamma 110.75
loop_
_atom_site_label
_atom_site_type_symbol
_atom_site_fract_x
_atom_site_fract_y
_atom_site_fract_z
Nd1 Nd 0.0000 0.0000 0.0000
Nd2 Nd 0.0000 0.0000 0.5000
Nd3 Nd 0.3283 0.7943 0.2501
Nd4 Nd 0.3763 0.6132 0.8898
Nd5 Nd 0.3777 0.6176 0.6090
Al1 Al 0.0398 0.2108 0.2497
Co1 Co 0.1446 0.4748 0.4175
Co2 Co 0.1447 0.4761 0.0820
```

density of number 9 (LiTbTl2)?
9.903 Mg/m³